Record 1
The following is a DFT calculation (PBE) of an optimized crystal structure of Pr2Zn3CdAu4.

```
10
Lattice="4.270 0.000 0.000 0.000 4.270 0.000 0.000 0.000 11.821" Properties=species:S:1:pos:R:3 pbc="T T T"
Pr 0.000 2.135 2.821
Pr 2.135 0.000 9.000
Zn 0.000 2.135 10.278
Zn 2.135 0.000 1.543
Zn 2.135 2.135 5.910
Cd 0.000 0.000 5.910
Au 0.000 0.000 0.000
Au 0.000 2.135 7.733
Au 2.135 0.000 4.087
Au 2.135 2.135 0.000
```


Record 2
The following is a DFT calculation (PBE) of an optimized crystal structure of PrZnCdAu.

```
4
Lattice="0.000 3.538 3.538 3.538 0.000 3.538 3.538 3.538 0.000" Properties=species:S:1:pos:R:3 pbc="T T T"
Pr 0.000 0.000 0.000
Zn 5.308 5.308 5.308
Cd 3.538 3.538 3.538
Au 1.769 1.769 1.769
```


Record 3
The following is a DFT calculation (PBE) of an optimized crystal structure of PrZn5CdAu2.

```
9
Lattice="4.945 0.000 0.000 0.000 4.945 0.000 0.000 0.000 7.647" Properties=species:S:1:pos:R:3 pbc="T T T"
Pr 0.000 0.000 0.000
Zn 0.000 2.473 2.002
Zn 0.000 2.473 5.645
Zn 2.473 0.000 2.002
Zn 2.473 0.000 5.645
Zn 2.473 2.473 0.000
Cd 0.000 0.000 3.824
Au 2.473 2.473 2.481
Au 2.473 2.473 5.166
```


Record 4
The following is a DFT calculation (PBE) of an optimized crystal structure of CdPt2Au2.

ΔE to the lowest computed polymorph (eV/atom): 0.074

```
10
Lattice="7.713 0.000 0.000 0.000 7.713 0.000 0.000 0.000 3.120" Properties=species:S:1:pos:R:3 pbc="T T T"
Cd 0.000 0.000 0.000
Cd 3.856 3.856 0.000
Pt 1.088 2.769 1.560
Pt 2.769 6.625 1.560
Pt 4.944 1.088 1.560
Pt 6.625 4.944 1.560
Au 1.206 5.063 0.000
Au 2.650 1.206 0.000
Au 5.063 6.506 0.000
Au 6.506 2.650 0.000
```


Record 5
The following is a DFT calculation (PBE) of an optimized crystal structure of CdPt2Au4.

ΔE to the lowest computed polymorph (eV/atom): 0.000

```
14
Lattice="5.861 0.000 0.000 -1.426 6.307 0.000 -0.053 -2.674 6.642" Properties=species:S:1:pos:R:3 pbc="T T T"
Cd 0.000 0.000 0.000
Cd 1.506 2.958 3.853
Pt 1.466 -1.076 4.783
Pt 2.938 0.598 2.953
Pt 2.958 4.672 1.923
Pt 4.369 -1.047 4.748
Au -0.005 0.601 2.949
Au -0.012 1.210 5.774
Au 0.046 4.655 1.939
Au 1.511 2.274 1.056
Au 1.525 6.288 0.041
Au 2.921 1.214 5.751
Au 4.408 2.289 1.046
Au 4.401 2.977 3.825
```


Record 6
The following is a DFT calculation (PBE) of an optimized crystal structure of CdPt4Au.

ΔE to the lowest computed polymorph (eV/atom): 0.000

```
6
Lattice="4.560 0.000 0.000 -2.280 3.949 0.000 0.000 0.000 5.672" Properties=species:S:1:pos:R:3 pbc="T T T"
Cd 0.000 0.000 0.000
Pt 0.000 2.633 1.437
Pt 0.000 2.633 4.235
Pt 2.280 1.316 1.437
Pt 2.280 1.316 4.235
Au 0.000 0.000 2.836
```


Record 7
The following is a DFT calculation (PBE) of an optimized crystal structure of Cd3Pt6Au.

```
20
Lattice="7.668 0.000 0.000 0.000 4.719 0.000 -3.503 0.000 9.424" Properties=species:S:1:pos:R:3 pbc="T T T"
Cd -0.136 1.180 2.157
Cd 2.173 1.180 0.254
Cd 1.064 3.539 3.517
Cd 3.102 1.180 5.906
Cd 1.992 3.539 9.169
Cd 4.301 3.539 7.267
Pt -1.755 1.180 6.912
Pt 0.580 3.539 0.667
Pt 0.434 1.180 5.077
Pt -0.658 3.539 8.140
Pt 0.898 1.180 7.832
Pt 2.672 1.180 3.076
Pt 1.493 3.539 6.347
Pt 3.268 3.539 1.591
Pt 4.823 1.180 1.284
Pt 3.731 3.539 4.347
Pt 3.585 1.180 8.757
Pt 5.920 3.539 2.511
Au -1.217 3.539 5.328
Au 5.383 1.180 4.095
```


Record 8
The following is a DFT calculation (PBE) of an optimized crystal structure of CdPt2Au.

```
4
Lattice="2.936 0.000 0.000 0.000 3.978 0.000 0.000 0.000 5.874" Properties=species:S:1:pos:R:3 pbc="T T T"
Cd 0.000 0.000 0.000
Pt 1.468 1.989 1.476
Pt 1.468 1.989 4.399
Au 0.000 0.000 2.937
```


Record 9
The following is a DFT calculation (PBE) of an optimized crystal structure of CdPt2Au.

```
4
Lattice="4.847 -1.446 0.000 4.847 1.446 0.000 -0.911 0.000 4.877" Properties=species:S:1:pos:R:3 pbc="T T T"
Cd 0.000 0.000 0.000
Pt 1.746 0.000 3.652
Pt 7.038 0.000 1.224
Au 4.392 0.000 2.438
```


Record 10
The following is a DFT calculation (PBE) of an optimized crystal structure of CdPt2Au.

```
4
Lattice="-2.070 2.070 4.001 2.070 -2.070 4.001 2.070 2.070 -4.001" Properties=species:S:1:pos:R:3 pbc="T T T"
Cd 0.000 0.000 0.000
Pt 2.070 0.000 2.001
Pt 0.000 2.070 2.001
Au 0.000 0.000 4.001
```


Record 11
The following is a DFT calculation (PBE) of an optimized crystal structure of CdPt4Au.

ΔE to the lowest computed polymorph (eV/atom): 0.038

```
12
Lattice="0.000 4.507 8.707 2.798 0.000 8.707 2.798 4.507 0.000" Properties=species:S:1:pos:R:3 pbc="T T T"
Cd 0.699 1.127 2.177
Cd 4.896 7.888 15.237
Pt 2.095 1.135 4.643
Pt 2.102 1.135 8.417
Pt 3.501 3.389 8.996
Pt 3.494 3.389 12.771
Pt 2.102 5.626 4.643
Pt 2.095 5.626 8.417
Pt 3.494 7.880 8.996
Pt 3.501 7.880 12.771
Au 2.098 3.380 6.530
Au 3.497 5.634 10.884
```


Record 12
The following is a DFT calculation (PBE) of an optimized crystal structure of Cd3PtAu12.

```
16
Lattice="4.200 0.000 0.000 0.000 4.200 0.000 0.000 0.000 16.589" Properties=species:S:1:pos:R:3 pbc="T T T"
Cd 0.000 0.000 0.000
Cd 0.000 0.000 4.241
Cd 0.000 0.000 12.349
Pt 0.000 0.000 8.295
Au 0.000 2.100 2.109
Au 0.000 2.100 6.301
Au 0.000 2.100 10.289
Au 0.000 2.100 14.480
Au 2.100 0.000 2.109
Au 2.100 0.000 6.301
Au 2.100 0.000 10.289
Au 2.100 0.000 14.480
Au 2.100 2.100 0.000
Au 2.100 2.100 4.204
Au 2.100 2.100 8.295
Au 2.100 2.100 12.386
```


Number 1: mass density 10.62 g/cm³, E -32.4 eV/f.u.. Number 2: mass density 9.66 g/cm³, E -12.2 eV/f.u.. Number 3: mass density 8.65 g/cm³, E -19.3 eV/f.u.. Number 4: mass density 16.04 g/cm³, E -19.2 eV/f.u.. Number 5: mass density 17.45 g/cm³, E -26.6 eV/f.u.. Number 6: mass density 17.72 g/cm³, E -28.6 eV/f.u.. Number 7: mass density 16.60 g/cm³, E -44.0 eV/f.u.. Number 8: mass density 16.93 g/cm³, E -16.9 eV/f.u.. Number 9: mass density 16.99 g/cm³, E -16.8 eV/f.u.. Number 10: mass density 16.93 g/cm³, E -16.9 eV/f.u.. Number 11: mass density 16.48 g/cm³, E -28.4 eV/f.u.. Number 12: mass density 16.43 g/cm³, E -49.5 eV/f.u..